# 1
VASP calculation (PBE-GGA) on crystalline Sc2GaPt9 at its relaxed geometry.

Cell and atoms, written as POSCAR:
```
Sc2GaPt9
1.0
3.992 0.000 0.000
0.000 3.992 0.000
0.000 0.000 11.935
Pt Sc Ga
9 2 1
direct
0.000 0.500 0.837
0.500 0.000 0.500
0.500 0.500 0.000
0.500 0.000 0.837
0.000 0.500 0.163
0.500 0.500 0.331
0.500 0.500 0.669
0.500 0.000 0.163
0.000 0.500 0.500
0.000 0.000 0.331
0.000 0.000 0.669
0.000 0.000 0.000
```

Results
Its calculated formation energy is -0.86 eV/atom.



# 2
VASP calculation (PBE-GGA) on crystalline ScGa2Pt at its relaxed geometry.

Cell and atoms, written as POSCAR:
```
ScGa2Pt
1.0
-0.661 -3.195 2.590
3.582 -1.543 -0.990
1.719 2.070 2.992
Pt Sc Ga
1 1 2
direct
0.500 0.000 0.000
0.500 0.500 0.500
0.000 0.500 0.000
0.000 0.000 0.500
```

Results
Its calculated formation energy is -0.72 eV/atom.



# 3
VASP calculation (PBE-GGA) on crystalline Sc3Ga4Pt4 at its relaxed geometry.

Cell and atoms, written as POSCAR:
```
Sc3Ga4Pt4
1.0
3.567 0.000 0.000
0.000 7.463 0.000
-1.784 -3.731 7.388
Ga Pt Sc
4 4 3
direct
0.334 0.129 0.667
0.666 0.462 0.333
0.334 0.538 0.667
0.666 0.871 0.333
0.232 0.732 0.464
0.768 0.268 0.536
0.500 0.799 0.000
0.500 0.201 0.000
0.112 0.112 0.224
0.888 0.888 0.776
0.000 0.500 0.000
```

Results
Its calculated formation energy is -0.94 eV/atom.



# 4
VASP calculation (PBE-GGA) on crystalline ScGaPt3 at its relaxed geometry.

Cell and atoms, written as POSCAR:
```
ScGaPt3
1.0
4.870 0.000 0.000
0.000 4.870 0.000
0.000 0.000 4.870
Pt Ga Sc
3 1 1
direct
0.000 0.500 0.000
0.500 0.000 0.000
0.000 0.000 0.500
0.500 0.500 0.500
0.000 0.000 0.000
```

Results
Its calculated formation energy is 0.55 eV/atom. As for the offset from the most stable computed form: 32.77 kcal/mol of atoms.



# 5
VASP calculation (PBE-GGA) on crystalline Sc2Ga3Pt at its relaxed geometry.

Cell and atoms, written as POSCAR:
```
Sc2Ga3Pt
1.0
-1.568 5.131 -0.746
-4.117 -3.131 -1.608
-0.012 -0.852 8.195
Ga Sc Pt
6 4 2
direct
0.166 0.166 0.333
0.832 0.334 0.166
0.334 0.832 0.166
0.168 0.666 0.834
0.834 0.834 0.667
0.666 0.168 0.834
0.253 0.253 0.000
0.750 0.250 0.500
0.250 0.750 0.500
0.747 0.747 0.000
0.332 0.332 0.665
0.668 0.668 0.335
```

Results
Its calculated formation energy is -0.81 eV/atom.



# 6
VASP calculation (PBE-GGA) on crystalline ScGaPt6 at its relaxed geometry.

Cell and atoms, written as POSCAR:
```
ScGaPt6
1.0
-2.127 -0.094 3.374
-3.260 -0.976 -2.082
1.735 -7.670 0.881
Sc Pt Ga
1 6 1
direct
0.000 0.000 0.000
0.500 0.000 0.254
0.000 0.500 0.746
0.000 0.500 0.254
0.500 0.500 0.500
0.500 0.000 0.746
0.500 0.500 0.000
0.000 0.000 0.500
```

Results
Its calculated formation energy is -0.76 eV/atom.



# 7
VASP calculation (PBE-GGA) on crystalline Sc6Ga3Pt at its relaxed geometry.

Cell and atoms, written as POSCAR:
```
Sc6Ga3Pt
1.0
-3.058 -3.651 -0.190
2.119 -1.356 -8.034
6.331 -5.609 5.899
Sc Pt Ga
12 2 6
direct
0.250 0.133 0.168
0.250 0.660 0.673
0.750 0.162 0.691
0.250 0.241 0.503
0.750 0.901 0.129
0.750 0.867 0.832
0.250 0.457 0.088
0.250 0.838 0.309
0.750 0.340 0.327
0.750 0.543 0.912
0.250 0.099 0.871
0.750 0.759 0.497
0.750 0.055 0.403
0.250 0.945 0.597
0.750 0.614 0.209
0.750 0.219 0.025
0.750 0.478 0.620
0.250 0.522 0.380
0.250 0.386 0.791
0.250 0.781 0.975
```

Results
Its calculated formation energy is -0.62 eV/atom. As for the offset from the most stable computed form: 0.00 kcal/mol of atoms.



# 8
VASP calculation (PBE-GGA) on crystalline Sc2GaSi3Pt4 at its relaxed geometry.

Cell and atoms, written as POSCAR:
```
Sc2GaSi3Pt4
1.0
-3.666 -0.931 -1.202
0.884 -3.858 0.293
-3.315 0.009 10.108
Pt Ga Sc Si
4 1 2 3
direct
0.000 0.500 0.356
0.000 0.000 0.000
0.500 0.000 0.644
0.500 0.500 0.000
0.500 0.500 0.500
0.500 0.000 0.240
0.000 0.500 0.760
0.000 0.500 0.139
0.000 0.000 0.500
0.500 0.000 0.861
```

Results
The value obtained for the formation energy from raw total energies is -945 meV/atom.